w) The following is a DFT calculation (GGA-PBE) of a geometry-optimized MnCu2Br structure.

```
MnCu2Br
1.0
-2.7157 6.2651 -2.4889
-6.5727 -1.8641 2.4792
-4.1135 3.3255 2.2479
Mn Cu Br
2 4 2
Cartesian
-7.6652 1.8309 2.3611
-4.6442 2.2005 -0.0048
-5.4761 0.4502 1.8001
-11.2116 6.3452 1.6772
-3.5469 4.5133 -0.6833
-6.5691 4.1442 1.6826
-5.7367 5.8955 -0.1229
0.0000 0.0000 0.0000
```

Summary:
N(E_F) ... 0.3 states/eV per cell

=====

x) The following is a DFT calculation (GGA-PBE) of a geometry-optimized MnCu2Br structure.

```
MnCu2Br
1.0
7.5641 -0.0012 -0.0007
6.8478 3.2131 -0.0007
6.8478 1.5261 2.8275
Mn Br Cu
1 1 2
Cartesian
5.3149 1.1845 0.7065
15.9448 3.5535 2.1196
10.7172 2.3884 1.4246
21.1724 4.7185 2.8145
```

Summary:
N(E_F) ... 0.6 states/eV per cell

=====

Relative energies in meV per atom: w) 127; x) 0

=====

w) The following is a DFT calculation (GGA-PBE) of a geometry-optimized MnCu2Br structure.

```
MnCu2Br
1.0
-1.5676 4.4460 -2.9577
-2.2016 -0.2373 -5.1057
-0.4922 -2.2559 5.0636
Cu Mn Br
2 1 1
Cartesian
0.0000 0.0000 0.0000
-1.8846 2.1043 -4.0317
-2.2892 -0.1944 -2.0369
-1.9722 2.1472 -0.9629
```

Summary:
N(E_F) ... 1.9 states/eV per cell

=====

x) The following is a DFT calculation (GGA-PBE) of a geometry-optimized MnCu2Br structure.

```
MnCu2Br
1.0
3.3127 0.0000 0.0000
0.0000 3.3107 0.0000
0.0000 0.0000 5.9862
Mn Cu Br
1 2 1
Cartesian
1.6563 1.6553 1.4965
0.0000 0.0000 0.2705
0.0000 0.0000 2.7226
1.6563 1.6553 4.4896
```

Summary:
N(E_F) ... 2.1 states/eV per cell

=====

y) The following is a DFT calculation (GGA-PBE) of a geometry-optimized MnCu2Br structure.

```
MnCu2Br
1.0
-2.9874 -0.4061 -1.1144
0.3185 -3.2425 0.3279
-2.3713 0.3698 6.2223
Br Mn Cu
1 1 2
Cartesian
-3.0245 -2.3589 4.3321
-0.8057 -2.2650 2.9852
-1.9966 -0.9232 1.0534
0.0785 -2.4106 0.6679
```

Summary:
N(E_F) ... 1.4 states/eV per cell

=====

z) The following is a DFT calculation (GGA-PBE) of a geometry-optimized MnCu2Br structure.

```
MnCu2Br
1.0
-1.6883 -3.3308 -2.5433
2.9521 0.2801 -2.3265
1.8728 -2.5312 2.0717
Cu Br Mn
2 1 1
Cartesian
2.4125 -1.1256 -0.1274
0.0000 0.0000 0.0000
0.0922 -2.9310 -0.2358
0.6319 -1.5254 -2.4349
```

Summary:
N(E_F) ... 1.5 states/eV per cell

=====

Relative energies in meV per atom: w) 322; x) 143; y) 0; z) 309

=====

w) The following is a DFT calculation (GGA-PBE) of a geometry-optimized MnCuBr structure.

```
MnCuBr
1.0
4.4222 0.0000 0.0000
2.2111 3.8298 0.0000
2.2111 1.2766 3.6107
Cu Br Mn
1 1 1
Cartesian
4.4222 2.5532 1.8054
0.0000 0.0000 0.0000
6.6334 3.8298 2.7081
```

Summary:
N(E_F) ... 2.6 states/eV per cell

=====

x) The following is a DFT calculation (GGA-PBE) of a geometry-optimized MnCuBr structure.

```
MnCuBr
1.0
3.4573 0.0000 0.0000
-1.7287 2.9941 0.0000
0.0000 0.0000 5.7029
Mn Cu Br
1 1 1
Cartesian
0.0000 1.9961 3.7244
1.7287 0.9980 2.1191
0.0000 0.0000 5.5623
```

Summary:
N(E_F) ... 1.6 states/eV per cell

=====

y) The following is a DFT calculation (GGA-PBE) of a geometry-optimized MnCuBr structure.

```
MnCuBr
1.0
-1.1421 5.9100 2.2266
-3.3903 5.0460 -0.0047
-1.1317 -0.1089 3.0801
Cu Mn Br
1 1 1
Cartesian
-2.2166 3.4210 2.8063
-3.4251 7.3533 2.5013
-1.1541 -0.0362 3.0744
```

Summary:
N(E_F) ... 1.2 states/eV per cell

=====

Relative energies in meV per atom: w) 295; x) 0; y) 97

=====

w) The following is a DFT calculation (GGA-PBE) of a geometry-optimized MnCuBr structure.

```
MnCuBr
1.0
-5.9930 1.8721 1.4458
-6.0636 -1.8633 -1.1279
6.0766 -1.2917 1.7081
Br Cu Mn
1 1 1
Cartesian
-11.6150 0.0085 0.3063
-8.5714 0.0063 0.2261
-3.9269 0.0029 0.1036
```

Summary:
N(E_F) ... 1.2 states/eV per cell

=====

x) The following is a DFT calculation (GGA-PBE) of a geometry-optimized MnCuBr structure.

```
MnCuBr
1.0
4.4489 0.0000 0.0000
2.2244 3.8528 0.0000
2.2244 1.2843 3.6325
Br Mn Cu
1 1 1
Cartesian
4.4489 2.5686 1.8162
0.0000 0.0000 0.0000
6.6733 3.8528 2.7244
```

Summary:
N(E_F) ... 1.3 states/eV per cell

=====

Relative energies in meV per atom: w) 0; x) 338

=====

w) The following is a DFT calculation (GGA-PBE) of a geometry-optimized MnCu2Br6 structure.

```
MnCu2Br6
1.0
-4.8724 2.0902 -3.9442
-7.4642 -5.5812 2.1145
-5.0825 6.0739 5.3490
Mn Cu Br
2 4 12
Cartesian
-10.9232 -3.0579 -0.5784
-6.4959 5.6408 4.0977
-8.5545 2.1811 3.1947
-11.4727 0.8673 0.5680
-5.9464 1.7157 2.9514
-8.8646 0.4019 0.3247
-8.6665 4.3038 4.2224
-4.9631 3.8565 3.1069
-5.2618 -0.5337 2.4499
-12.4560 -1.2736 0.4125
-8.7526 -1.7208 -0.7030
-5.6811 1.0485 -2.8736
-7.3586 2.1723 0.9387
-10.0605 0.4107 2.5806
-14.5066 0.9530 3.9695
-12.1573 3.1166 1.0695
-11.7380 1.5344 6.3930
-2.9125 1.6300 -0.4502
```

Summary:
N(E_F) ... 18.2 states/eV per cell

=====

x) The following is a DFT calculation (GGA-PBE) of a geometry-optimized MnCu2Br6 structure.

```
MnCu2Br6
1.0
7.0242 -0.5114 -0.4951
1.3441 8.2979 0.2227
1.3441 0.4914 8.2863
Br Cu Mn
12 4 2
Cartesian
7.7942 4.3563 5.6044
2.0238 1.2351 5.2014
3.2348 7.1694 8.0547
1.9182 3.9216 2.4095
4.2821 5.9983 4.4200
6.4776 1.1085 -0.0408
6.7469 8.0271 6.6571
5.4303 2.2796 3.5939
5.5359 4.9830 0.8183
7.6886 7.0428 2.8125
4.1765 3.2949 7.1956
2.9655 0.2508 1.3568
3.1221 2.0351 3.1630
6.5903 6.2428 4.8509
3.0782 5.3063 6.3299
6.6342 2.9716 1.6840
3.1002 1.0927 7.4094
6.6123 7.1852 0.6045
```

Summary:
N(E_F) ... 16.8 states/eV per cell

=====

Relative energies in meV per atom: w) 0; x) 8

=====

w) The following is a DFT calculation (GGA-PBE) of a geometry-optimized Mn3CuBr structure.

```
Mn3CuBr
1.0
-2.6253 3.6499 0.0058
-3.6399 -2.6186 0.3289
0.2704 0.1874 4.4840
Mn Br Cu
3 1 1
Cartesian
-1.8199 -1.3093 0.1645
-1.3127 1.8250 0.0029
0.1352 0.0937 2.2420
0.0000 0.0000 0.0000
-2.9974 0.6093 2.4093
```

Summary:
N(E_F) ... 5.9 states/eV per cell

=====

x) The following is a DFT calculation (GGA-PBE) of a geometry-optimized Mn3CuBr structure.

```
Mn3CuBr
1.0
4.7282 0.0000 0.0000
0.0000 4.7282 0.0000
0.0000 0.0000 4.7282
Cu Mn Br
1 3 1
Cartesian
0.0000 0.0000 0.0000
0.0000 0.0000 2.3641
2.3641 0.0000 0.0000
0.0000 2.3641 0.0000
2.3641 2.3641 2.3641
```

Summary:
N(E_F) ... 1.5 states/eV per cell

=====

Relative energies in meV per atom: w) 413; x) 0

=====

w) The following is a DFT calculation (GGA-PBE) of a geometry-optimized Cu2MoBr structure.

```
Cu2MoBr
1.0
-7.2942 5.4477 -0.7978
-8.2287 3.1162 -2.4692
-8.5927 3.0674 0.5254
Cu Br Mo
2 1 1
Cartesian
-23.6278 11.3962 -2.6862
-5.9706 2.8797 -0.6788
-18.5110 8.9282 -2.1045
-12.1794 5.8744 -1.3847
```

Summary:
N(E_F) ... 1.7 states/eV per cell

=====

x) The following is a DFT calculation (GGA-PBE) of a geometry-optimized Cu2MoBr structure.

```
Cu2MoBr
1.0
-2.1791 -5.0197 4.7954
2.8466 -5.2302 -4.1814
2.5819 -4.9035 1.5605
Br Cu Mo
2 4 2
Cartesian
0.3338 -5.1250 0.3070
2.8811 -7.6294 -1.1569
2.1391 -5.1524 -1.5950
2.2039 -7.5528 1.3755
2.5034 -12.6149 1.7328
-0.3475 -4.9868 2.8358
0.0000 0.0000 0.0000
0.3683 -7.5241 3.3315
```

Summary:
N(E_F) ... 2.8 states/eV per cell

=====

y) The following is a DFT calculation (GGA-PBE) of a geometry-optimized Cu2MoBr structure.

```
Cu2MoBr
1.0
-1.3778 -2.2636 1.2572
1.6219 -1.7529 -1.3787
5.4096 0.1399 6.1803
Cu Br Mo
2 1 1
Cartesian
3.7674 -1.2474 1.8827
1.3703 -1.3121 -0.8606
4.5848 -2.3416 4.2298
1.0690 -1.5351 1.8290
```

Summary:
N(E_F) ... 3.5 states/eV per cell

=====

z) The following is a DFT calculation (GGA-PBE) of a geometry-optimized Cu2MoBr structure.

```
Cu2MoBr
1.0
4.4577 0.0000 0.0000
0.0000 2.8666 0.0409
0.0000 -0.0702 4.9709
Cu Mo Br
2 1 1
Cartesian
2.2288 0.3379 1.3256
0.0000 0.3594 0.0971
0.0000 1.7571 2.4456
2.2288 1.7403 3.6493
```

Summary:
N(E_F) ... 2.9 states/eV per cell

=====

Relative energies in meV per atom: w) 0; x) 409; y) 30; z) 166

=====

w) The following is a DFT calculation (GGA-PBE) of a geometry-optimized Cu2MoBr structure.

```
Cu2MoBr
1.0
5.4612 0.0826 0.0066
2.5962 4.8053 -0.0066
-3.4235 -3.4415 2.5033
Cu Br Mo
2 1 1
Cartesian
7.9336 4.8128 0.0000
2.9593 -0.5023 1.2550
1.8176 2.0355 1.2484
4.0094 2.4323 0.0000
```

Summary:
N(E_F) ... 2.5 states/eV per cell

=====

x) The following is a DFT calculation (GGA-PBE) of a geometry-optimized Cu2MoBr structure.

```
Cu2MoBr
1.0
4.5113 -0.0087 -0.0352
3.5638 2.7660 -0.0352
0.8051 0.2749 5.0148
Br Mo Cu
1 1 2
Cartesian
2.1351 0.7291 1.3969
4.4017 1.5030 2.4396
6.7119 2.2918 3.8343
0.8767 0.2993 4.7604
```

Summary:
N(E_F) ... 2.4 states/eV per cell

=====

Relative energies in meV per atom: w) 117; x) 0

=====

w) The following is a DFT calculation (GGA-PBE) of a geometry-optimized Cu2MoBr structure.

```
Cu2MoBr
1.0
2.8057 0.3397 0.0000
-0.7333 2.7294 0.0000
0.0000 0.0000 8.4644
Mo Cu Br
1 2 1
Cartesian
1.0362 1.5346 2.1161
0.0000 0.0000 3.9771
0.0000 0.0000 0.2551
1.0362 1.5346 6.3483
```

Summary:
N(E_F) ... 3.3 states/eV per cell

=====

x) The following is a DFT calculation (GGA-PBE) of a geometry-optimized Cu2MoBr structure.

```
Cu2MoBr
1.0
-3.7860 -0.3264 2.5146
-4.0230 1.1981 -1.7730
-3.1066 -3.1914 -0.9631
Br Cu Mo
1 2 1
Cartesian
0.0000 0.0000 0.0000
-2.7289 -0.5799 -0.0554
-8.1867 -1.7398 -0.1661
-5.4578 -1.1598 -0.1107
```

Summary:
N(E_F) ... 2.5 states/eV per cell

=====

Relative energies in meV per atom: w) 0; x) 559

=====

w) The following is a DFT calculation (GGA-PBE) of a geometry-optimized Cu2MoBr structure.

```
Cu2MoBr
1.0
-2.0634 2.0561 -1.0318
-2.1569 -1.2469 1.8283
1.7363 4.2120 4.9209
Br Cu Mo
1 2 1
Cartesian
-0.8649 3.4252 3.9273
-1.6883 1.4279 1.5939
0.1181 0.2864 0.3346
0.8194 1.9876 2.3222
```

Summary:
N(E_F) ... 2.3 states/eV per cell

=====

x) The following is a DFT calculation (GGA-PBE) of a geometry-optimized Cu2MoBr structure.

```
Cu2MoBr
1.0
-4.7774 2.3771 0.1726
-4.2081 -2.1539 -2.4812
3.8972 -1.4672 3.3410
Cu Br Mo
2 1 1
Cartesian
-4.4927 0.1116 -1.1543
0.0000 0.0000 0.0000
-2.6864 0.5108 1.1797
-2.4018 -1.7547 -0.1472
```

Summary:
N(E_F) ... 3.7 states/eV per cell

=====

Relative energies in meV per atom: w) 0; x) 470

=====

w) The following is a DFT calculation (GGA-PBE) of a geometry-optimized Cu2MoBr structure.

```
Cu2MoBr
1.0
5.0544 -0.0349 0.0000
-2.5429 4.3683 0.0000
0.0000 0.0000 2.8662
Cu Br Mo
2 1 1
Cartesian
0.0000 0.0000 0.0000
1.2558 2.1667 0.0000
-1.2714 2.1841 1.4331
2.5272 -0.0175 1.4331
```

Summary:
N(E_F) ... 3.2 states/eV per cell

=====

x) The following is a DFT calculation (GGA-PBE) of a geometry-optimized Cu2MoBr structure.

```
Cu2MoBr
1.0
4.4116 0.0000 0.0000
2.2058 3.8206 0.0000
2.2058 1.2735 3.6021
Cu Mo Br
2 1 1
Cartesian
6.6174 3.8206 2.7015
0.0000 0.0000 0.0000
2.2058 1.2735 0.9005
4.4116 2.5470 1.8010
```

Summary:
N(E_F) ... 2.6 states/eV per cell

=====

Relative energies in meV per atom: w) 0; x) 144